No. 1
A relaxed Sn2GeSb crystal, computed with PBE.

Values from the calculation:
Crystal system: tetragonal
Symmetry: No. 123
Distance to the lowest polymorph of the same formula, meV/atom: 79
Formation energy (no corrections), eV per atom: 0.1716

a = 3.6554 Å, b = 3.6554 Å, c = 7.5693 Å
α = 90.00°, β = 90.00°, γ = 90.00°
Last column: nearest neighbours and their distance in Å.
Element x y z (fractional)
Sn 0.0000 0.0000 0.2277  4 Ge 3.11, 4 Sb 3.31, 1 Sn 3.45
Sn 0.0000 0.0000 0.7723  4 Ge 3.11, 4 Sb 3.31, 1 Sn 3.45
Ge 0.5000 0.5000 0.0000  8 Sn 3.11
Sb 0.5000 0.5000 0.5000  8 Sn 3.31, 4 Sb 3.66

No. 2
A relaxed Sb4Pd15Pt crystal, computed with PBE.

Values from the calculation:
Crystal system: tetragonal
Symmetry: No. 123
Formation energy (no corrections), eV per atom: -0.3201

a = 4.0363 Å, b = 4.0363 Å, c = 20.1875 Å
α = 90.00°, β = 90.00°, γ = 90.00°
Last column: nearest neighbours and their distance in Å.
Element x y z (fractional)
Pd 0.5000 0.0000 0.9022  2 Sb 2.73, 2 Pt 2.82, 8 Pd 2.82-2.92
Pd 0.5000 0.5000 0.4010  8 Pd 2.84-2.87, 4 Sb 2.86
Pd 0.0000 0.5000 0.3000  4 Sb 2.81-3.02, 8 Pd 2.83-2.87
Pd 0.5000 0.0000 0.7000  4 Sb 2.81-3.02, 8 Pd 2.83-2.87
Pd 0.0000 0.5000 0.9022  2 Sb 2.73, 2 Pt 2.82, 8 Pd 2.82-2.92
Pd 0.5000 0.5000 0.0000  8 Pd 2.82, 4 Pt 2.85
Pd 0.0000 0.5000 0.7000  4 Sb 2.81-3.02, 8 Pd 2.83-2.87
Pd 0.5000 0.0000 0.0978  2 Sb 2.73, 2 Pt 2.82, 8 Pd 2.82-2.92
Pd 0.5000 0.5000 0.5990  8 Pd 2.84-2.87, 4 Sb 2.86
Pd 0.5000 0.0000 0.3000  4 Sb 2.81-3.02, 8 Pd 2.83-2.87
Pd 0.5000 0.5000 0.7980  8 Pd 2.83-2.92, 4 Sb 2.87
Pd 0.0000 0.5000 0.0978  2 Sb 2.73, 2 Pt 2.82, 8 Pd 2.82-2.92
Pd 0.0000 0.5000 0.5000  8 Pd 2.84-2.85, 4 Sb 2.90
Pd 0.5000 0.5000 0.2020  8 Pd 2.83-2.92, 4 Sb 2.87
Pd 0.5000 0.0000 0.5000  8 Pd 2.84-2.85, 4 Sb 2.90
Sb 0.0000 0.0000 0.3969  12 Pd 2.81-2.90
Sb 0.0000 0.0000 0.8111  12 Pd 2.73-3.02
Sb 0.0000 0.0000 0.1889  12 Pd 2.73-3.02
Sb 0.0000 0.0000 0.6031  12 Pd 2.81-2.90
Pt 0.0000 0.0000 0.0000  12 Pd 2.82-2.85

No. 3
A relaxed Al2CdSn2Rh5 crystal, computed with PBE.

Values from the calculation:
Crystal system: tetragonal
Symmetry: No. 127
E_form, eV per atom: -0.3742

a = 3.5671 Å, b = 9.6428 Å, c = 9.6428 Å
α = 90.00°, β = 90.00°, γ = 90.00°
Last column: nearest neighbours and their distance in Å.
Element x y z (fractional)
Rh 0.5000 0.9094 0.1999  2 Al 2.47
Rh 0.5000 0.5000 0.0000  4 Al 2.48
Rh 0.5000 0.8001 0.9094  2 Al 2.47
Rh 0.5000 0.0906 0.8001  2 Al 2.47
Rh 0.5000 0.0000 0.5000  4 Al 2.48
Rh 0.5000 0.1999 0.0906  2 Al 2.47
Rh 0.5000 0.3001 0.5906  2 Al 2.47
Rh 0.5000 0.6999 0.4094  2 Al 2.47
Rh 0.5000 0.4094 0.3001  2 Al 2.47
Rh 0.5000 0.5906 0.6999  2 Al 2.47
Sn 0.0000 0.8266 0.6734  3 Al 2.73-2.93, 6 Rh 2.90-2.96
Sn 0.0000 0.6734 0.1734  3 Al 2.73-2.93, 6 Rh 2.90-2.96
Sn 0.0000 0.1734 0.3266  3 Al 2.73-2.93, 6 Rh 2.90-2.96
Sn 0.0000 0.3266 0.8266  3 Al 2.73-2.93, 6 Rh 2.90-2.96
Cd 0.0000 0.0000 0.0000  8 Rh 2.77
Cd 0.0000 0.5000 0.5000  8 Rh 2.77
Al 0.0000 0.3735 0.1265  6 Rh 2.47-2.48, 1 Sn 2.73
Al 0.0000 0.1265 0.6265  6 Rh 2.47-2.48, 1 Sn 2.73
Al 0.0000 0.6265 0.8735  6 Rh 2.47-2.48, 1 Sn 2.73
Al 0.0000 0.8735 0.3735  6 Rh 2.47-2.48, 1 Sn 2.73

No. 4
A relaxed SmEr3N4 crystal, computed with PBE.

Values from the calculation:
Crystal system: cubic
Symmetry: No. 221
Distance to the lowest polymorph of the same formula, meV/atom: 11
Formation energy (no corrections), eV per atom: -1.6814

a = 4.9100 Å, b = 4.9100 Å, c = 4.9100 Å
α = 90.00°, β = 90.00°, γ = 90.00°
Last column: nearest neighbours and their distance in Å.
Element x y z (fractional)
Sm 0.0000 0.0000 0.0000  6 N 2.45
Er 0.5000 0.0000 0.5000  6 N 2.45
Er 0.5000 0.5000 0.0000  6 N 2.45
Er 0.0000 0.5000 0.5000  6 N 2.45
N 0.5000 0.0000 0.0000  4 Er 2.45, 2 Sm 2.45
N 0.0000 0.0000 0.5000  4 Er 2.45, 2 Sm 2.45
N 0.5000 0.5000 0.5000  6 Er 2.45
N 0.0000 0.5000 0.0000  4 Er 2.45, 2 Sm 2.45

No. 5
A relaxed Pu2Tl3Cl9 crystal, computed with PBE.

Values from the calculation:
Crystal system: trigonal
Symmetry: No. 167
Formation energy (no corrections), eV per atom: -1.5008

a = 9.7046 Å, b = 9.7046 Å, c = 9.7046 Å
α = 85.77°, β = 85.77°, γ = 85.77°
Last column: nearest neighbours and their distance in Å.
Element x y z (fractional)
Cl 0.4442 0.2196 0.5835  1 Pu 2.65
Cl 0.7500 0.5976 0.9024  2 Pu 2.78
Cl 0.0976 0.2500 0.4024  2 Pu 2.78
Cl 0.9024 0.7500 0.5976  2 Pu 2.78
Cl 0.5835 0.4442 0.2196  1 Pu 2.65
Cl 0.0835 0.7196 0.9442  1 Pu 2.65
Cl 0.5976 0.9024 0.7500  2 Pu 2.78
Cl 0.4165 0.5558 0.7804  1 Pu 2.65
Cl 0.9442 0.0835 0.7196  1 Pu 2.65
Cl 0.9165 0.2804 0.0558  1 Pu 2.65
Cl 0.4024 0.0976 0.2500  2 Pu 2.78
Cl 0.2196 0.5835 0.4442  1 Pu 2.65
Cl 0.2804 0.0558 0.9165  1 Pu 2.65
Cl 0.0558 0.9165 0.2804  1 Pu 2.65
Cl 0.2500 0.4024 0.0976  2 Pu 2.78
Cl 0.5558 0.7804 0.4165  1 Pu 2.65
Cl 0.7196 0.9442 0.0835  1 Pu 2.65
Cl 0.7804 0.4165 0.5558  1 Pu 2.65
Tl 0.5541 0.2500 0.9459  8 Cl 3.41-3.79
Tl 0.0541 0.4459 0.7500  8 Cl 3.41-3.79
Tl 0.9459 0.5541 0.2500  8 Cl 3.41-3.79
Tl 0.4459 0.7500 0.0541  8 Cl 3.41-3.79
Tl 0.2500 0.9459 0.5541  8 Cl 3.41-3.79
Tl 0.7500 0.0541 0.4459  8 Cl 3.41-3.79
Pu 0.1434 0.1434 0.1434  6 Cl 2.65-2.78
Pu 0.8566 0.8566 0.8566  6 Cl 2.65-2.78
Pu 0.6434 0.6434 0.6434  6 Cl 2.65-2.78
Pu 0.3566 0.3566 0.3566  6 Cl 2.65-2.78

No. 6
A relaxed InPbO3 crystal, computed with PBE.

Values from the calculation:
Crystal system: cubic
Symmetry: No. 221
Formation energy (no corrections), eV per atom: -0.4951

a = 4.2186 Å, b = 4.2186 Å, c = 4.2186 Å
α = 90.00°, β = 90.00°, γ = 90.00°
Last column: nearest neighbours and their distance in Å.
Element x y z (fractional)
O 0.0000 0.5000 0.0000  2 Pb 2.11
O 0.5000 0.0000 0.0000  2 Pb 2.11
O 0.0000 0.0000 0.5000  2 Pb 2.11
Pb 0.0000 0.0000 0.0000  6 O 2.11
In 0.5000 0.5000 0.5000  12 O 2.98

No. 7
A relaxed Sr2TePPt6 crystal, computed with PBE.

Values from the calculation:
Crystal system: orthorhombic
Symmetry: No. 59
Formation energy (no corrections), eV per atom: -0.7294

a = 5.7323 Å, b = 8.6941 Å, c = 8.5558 Å
α = 90.00°, β = 90.00°, γ = 90.00°
Last column: nearest neighbours and their distance in Å.
Element x y z (fractional)
Sr 0.0000 0.2690 0.7595  9 Pt 3.13-3.45
Sr 0.5000 0.7310 0.2595  9 Pt 3.13-3.45
Sr 0.0000 0.2690 0.2405  9 Pt 3.13-3.45
Sr 0.5000 0.7310 0.7405  9 Pt 3.13-3.45
Pt 0.7387 0.4552 0.5000  1 P 2.33
Pt 0.0000 0.8852 0.2508  1 P 2.40, 1 Te 2.65
Pt 0.7555 0.0115 0.5000  1 P 2.45
Pt 0.5000 0.1148 0.2492  1 P 2.40, 1 Te 2.65
Pt 0.5000 0.1148 0.7508  1 P 2.40, 1 Te 2.65
Pt 0.2387 0.5448 0.0000  1 P 2.33
Pt 0.7613 0.5448 0.0000  1 P 2.33
Pt 0.2555 0.9885 0.0000  1 P 2.45
Pt 0.2445 0.0115 0.5000  1 P 2.45
Pt 0.2613 0.4552 0.5000  1 P 2.33
Pt 0.7445 0.9885 0.0000  1 P 2.45
Pt 0.0000 0.8852 0.7492  1 P 2.40, 1 Te 2.65
Te 0.5000 0.2966 0.0000  4 Pt 2.63-2.65
Te 0.0000 0.7034 0.5000  4 Pt 2.63-2.65
P 0.5000 0.2380 0.5000  6 Pt 2.33-2.45
P 0.0000 0.7620 0.0000  6 Pt 2.33-2.45

No. 8
A relaxed VBBr3 crystal, computed with PBE.

Values from the calculation:
Crystal system: cubic
Symmetry: No. 221
Distance to the lowest polymorph of the same formula, meV/atom: 0
Formation energy (no corrections), eV per atom: 0.5275

a = 5.1220 Å, b = 5.1220 Å, c = 5.1220 Å
α = 90.00°, β = 90.00°, γ = 90.00°
Last column: nearest neighbours and their distance in Å.
Element x y z (fractional)
Br 0.5000 0.0000 0.0000  2 V 2.56
Br 0.0000 0.0000 0.5000  2 V 2.56
Br 0.0000 0.5000 0.0000  2 V 2.56
B 0.5000 0.5000 0.5000  12 Br 3.62
V 0.0000 0.0000 0.0000  6 Br 2.56

No. 9
A relaxed BSbOs2F crystal, computed with PBE.

Values from the calculation:
Crystal system: tetragonal
Symmetry: No. 123
Formation energy (no corrections), eV per atom: 2.4222

a = 4.9985 Å, b = 4.4339 Å, c = 4.9985 Å
α = 90.00°, β = 90.00°, γ = 90.00°
Last column: nearest neighbours and their distance in Å.
Element x y z (fractional)
B 0.0000 0.5000 0.0000  2 Sb 2.22
Os 0.5000 0.0000 0.0000  2 Sb 2.50
Os 0.0000 0.0000 0.5000  2 Sb 2.50
Sb 0.0000 0.0000 0.0000  2 B 2.22
F 0.5000 0.5000 0.5000  8 Os 3.34, 4 B 3.53

No. 10
A relaxed Ag4Cl3 crystal, computed with PBE.

Values from the calculation:
Crystal system: hexagonal
Symmetry: No. 191
Distance to the lowest polymorph of the same formula, meV/atom: 483
Formation energy (no corrections), eV per atom: 0.3085

a = 6.2352 Å, b = 6.2352 Å, c = 4.9276 Å
α = 90.00°, β = 90.00°, γ = 120.00°
Last column: nearest neighbours and their distance in Å.
Element x y z (fractional)
Ag 0.6667 0.3333 0.5000  6 Cl 3.05
Ag 0.0000 0.0000 0.7500  2 Ag 2.46
Ag 0.3333 0.6667 0.5000  6 Cl 3.05
Ag 0.0000 0.0000 0.2500  2 Ag 2.46
Cl 0.5000 0.0000 0.0000  8 Ag 3.05-3.35, 4 Cl 3.12
Cl 0.0000 0.5000 0.0000  8 Ag 3.05-3.35, 4 Cl 3.12
Cl 0.5000 0.5000 0.0000  8 Ag 3.05-3.35, 4 Cl 3.12

No. 11
A relaxed Zr2InNi crystal, computed with PBE.

Values from the calculation:
Crystal system: monoclinic
Symmetry: No. 6
E_form, eV per atom: -0.2071

a = 4.2107 Å, b = 3.4049 Å, c = 5.8732 Å
α = 73.01°, β = 90.00°, γ = 90.00°
Last column: nearest neighbours and their distance in Å.
Element x y z (fractional)
In 0.0000 0.6914 0.4937  2 Ni 2.70, 4 Zr 2.99
Zr 0.5000 0.3043 0.2684  1 Ni 2.66
Zr 0.0000 0.9667 0.9423  4 Ni 2.82-2.84, 3 In 3.04-3.10
Ni 0.5000 0.5376 0.7956  5 Zr 2.66-2.84, 2 In 2.70

No. 12
A relaxed Fe5Si4W crystal, computed with PBE.

Values from the calculation:
Crystal system: tetragonal
Symmetry: No. 123
Formation energy (no corrections), eV per atom: -0.4076

a = 2.7456 Å, b = 2.7456 Å, c = 14.5912 Å
α = 90.00°, β = 90.00°, γ = 90.00°
Last column: nearest neighbours and their distance in Å.
Element x y z (fractional)
Fe 0.5000 0.5000 0.3124  8 Si 2.36-2.42
Fe 0.5000 0.5000 0.8753  4 Si 2.33
Fe 0.5000 0.5000 0.1247  4 Si 2.33
Fe 0.5000 0.5000 0.5000  8 Si 2.39
Fe 0.5000 0.5000 0.6876  8 Si 2.36-2.42
W 0.0000 0.0000 0.0000  8 Fe 2.66, 4 W 2.75
Si 0.0000 0.0000 0.2132  8 Fe 2.33-2.42
Si 0.0000 0.0000 0.4046  8 Fe 2.36-2.39
Si 0.0000 0.0000 0.5954  8 Fe 2.36-2.39
Si 0.0000 0.0000 0.7868  8 Fe 2.33-2.42

Number 1: M_tot 0.000 μB/atom. Number 2: M_tot 0.000 μB/atom. Number 3: M_tot 0.000 μB/atom. Number 4: M_tot 0.000 μB/atom. Number 5: M_tot 0.714 μB/atom. Number 6: M_tot 0.000 μB/atom. Number 7: M_tot 0.000 μB/atom. Number 8: M_tot 0.600 μB/atom. Number 9: M_tot 0.721 μB/atom. Number 10: M_tot 0.049 μB/atom. Number 11: M_tot 0.000 μB/atom. Number 12: M_tot 0.000 μB/atom.